No. 1
Li2HgRuN PBE-GGA optimized geometry; total energy = -22.97 eV/f.u.; N(E_F) = 0.42 states/eV per atom; E_form (uncorrected) = -24.0 kJ per mole of atoms
1.0
4.188 0.000 0.000
0.000 4.188 0.000
0.000 0.000 3.823
Li Hg Ru N
2 1 1 1
Direct
0.000 0.500 0.000
0.500 0.000 0.000
0.000 0.000 0.500
0.500 0.500 0.500
0.500 0.500 0.000

No. 2
LiHgSN2 PBE-GGA optimized geometry; total energy = -14.98 eV/f.u.; N(E_F) = 0.52 states/eV per atom; E_form (uncorrected) = 154.7 kJ per mole of atoms
1.0
3.843 0.000 0.000
0.000 3.843 0.000
0.000 0.000 5.294
Li Hg S N
1 1 1 2
Direct
0.000 0.000 0.000
0.500 0.500 0.500
0.000 0.000 0.500
0.000 0.500 0.000
0.500 0.000 0.000

No. 3
LiHgS2N PBE-GGA optimized geometry; total energy = -13.41 eV/f.u.; N(E_F) = 0.98 states/eV per atom; E_form (uncorrected) = 104.0 kJ per mole of atoms
1.0
4.682 0.000 0.000
0.000 4.682 0.000
0.000 0.000 3.670
Li Hg S N
1 1 2 1
Direct
0.000 0.000 0.000
0.500 0.500 0.500
0.000 0.500 0.000
0.500 0.000 0.000
0.000 0.000 0.500

No. 4
LiHgS2N PBE-GGA optimized geometry; total energy = -13.93 eV/f.u.; N(E_F) = 0.71 states/eV per atom; E_form (uncorrected) = 93.8 kJ per mole of atoms
1.0
5.184 0.000 0.000
0.000 5.184 0.000
0.000 0.000 4.260
Li Hg S N
1 1 2 1
Direct
0.000 0.000 0.000
0.500 0.500 0.500
0.000 0.500 0.500
0.500 0.000 0.500
0.500 0.500 0.000

No. 5
LiHgSN2 PBE-GGA optimized geometry; total energy = -15.23 eV/f.u.; N(E_F) = 0.73 states/eV per atom; E_form (uncorrected) = 149.9 kJ per mole of atoms
1.0
4.330 0.000 0.000
0.000 4.330 0.000
0.000 0.000 5.374
Li Hg S N
1 1 1 2
Direct
0.000 0.000 0.000
0.500 0.500 0.500
0.500 0.500 0.000
0.000 0.500 0.500
0.500 0.000 0.500

No. 6
Li2ScHgN PBE-GGA optimized geometry; total energy = -21.89 eV/f.u.; N(E_F) = 0.32 states/eV per atom; E_form (uncorrected) = -59.9 kJ per mole of atoms
1.0
4.280 0.000 0.000
0.000 4.280 0.000
0.000 0.000 4.241
Li Sc Hg N
2 1 1 1
Direct
0.000 0.500 0.000
0.500 0.000 0.000
0.000 0.000 0.500
0.500 0.500 0.500
0.000 0.000 0.000

Number 1: magnetization 0.0 μB per cell. Number 2: magnetization 3.9 μB per cell. Number 3: magnetization 0.0 μB per cell. Number 4: magnetization 2.9 μB per cell. Number 5: magnetization 3.8 μB per cell. Number 6: magnetization 0.0 μB per cell.